A relaxed structure of HoFe2Ge4. Source: Alexandria via LeMat-Bulk, functional PBE.

Results
The value obtained for the formation energy is -0.310 eV/atom. Its crystal system is orthorhombic. The value obtained for the final energy is -168.56 eV/cell.

Cell: 16.610 4.019 6.600 Å, 90.00 90.00 90.00°
Space group Pnma (No. 62)
One atom of each set of equivalent atoms:
Ho: 0.143 0.250 0.048 [4 per cell]
Fe: 0.042 0.750 0.757 [4 per cell]
Fe: 0.205 0.250 0.535 [4 per cell]
Ge: 0.024 0.750 0.134 [4 per cell]
Ge: 0.061 0.250 0.503 [4 per cell]
Ge: 0.190 0.750 0.752 [4 per cell]
Ge: 0.195 0.750 0.328 [4 per cell]